(1)
{
  "formula": "LaDy2Mn",
  "functional": "PBE",
  "state": "relaxed",
  "formation_enthalpy_0k_ev_per_atom": 0.12,
  "crystal_system": "tetragonal",
  "lattice_angstrom": [[-1.5562, 0.4435, -3.1074], [2.5513, -1.8417, -1.5406], [-4.8086, -7.7505, 1.3022]],
  "species": ["Dy", "Dy", "La", "Mn"],
  "frac_coords": [[0.0000, 0.0000, 0.1882], [0.0000, 0.0000, 0.8118], [0.5000, 0.5000, 0.5000], [0.5000, 0.5000, 0.0000]]
}


(2)
{
  "formula": "LaDy2MnN4",
  "functional": "PBE",
  "state": "relaxed",
  "formation_energy_uncorrected_kcal_per_mol_atoms": -28.06,
  "crystal_system": "orthorhombic",
  "lattice_angstrom": [[3.4379, 0.0000, 0.0000], [-1.7190, 5.8330, 0.0000], [0.0000, 0.0000, 11.6867]],
  "species": ["La", "La", "N", "N", "N", "N", "N", "N", "N", "N", "Mn", "Mn", "Dy", "Dy", "Dy", "Dy"],
  "frac_coords": [[0.1021, 0.2043, 0.7500], [0.8979, 0.7957, 0.2500], [0.0000, 0.0000, 0.0000], [0.4222, 0.8445, 0.7500], [0.7329, 0.4658, 0.8736], [0.0000, 0.0000, 0.5000], [0.5778, 0.1555, 0.2500], [0.7329, 0.4658, 0.6264], [0.2671, 0.5342, 0.3736], [0.2671, 0.5342, 0.1264], [0.8348, 0.6696, 0.7500], [0.1652, 0.3304, 0.2500], [0.3698, 0.7396, 0.5449], [0.3698, 0.7396, 0.9551], [0.6302, 0.2604, 0.4551], [0.6302, 0.2604, 0.0449]]
}